Crystalline TmN at its relaxed geometry, computed with GGA-PBEsol.

For the uncorrected formation energy, the calculation gives -2.01 eV per atom. Its theoretical density is 11.28 Mg/m³.

The space group is Fm-3m (No. 225) and the conventional cell measures 4.758, 4.758 and 4.758 Å, with angles of 90.00, 90.00 and 90.00 degrees. The asymmetric unit holds Tm at (0.000, 0.000, 0.000) and N at (0.000, 0.000, 0.500).